{
  "formula": "Li2CoPb",
  "functional": "PBE-GGA",
  "state": "relaxed",
  "lattice": [[4.956, -0.056, 0.000], [-1.986, 4.542, 0.000], [0.000, 0.000, 3.053]],
  "species": ["Co", "Li", "Li", "Pb"],
  "fractional_positions": [[0.000, 0.500, 0.500], [0.500, 0.500, 0.000], [0.000, 0.000, 0.000], [0.500, 0.000, 0.500]],
  "ef_mev_per_atom": 188,
  "crystal_system": "orthorhombic",
  "spacegroup": "Cmmm"
}

{
  "formula": "CeSbRh4",
  "functional": "PBE-GGA",
  "state": "relaxed",
  "lattice": [[-2.217, 3.134, -3.688], [1.717, -0.189, -5.035], [-3.085, -2.118, -3.787]],
  "species": ["Rh", "Rh", "Rh", "Sb", "Rh", "Ce"],
  "fractional_positions": [[0.626, 0.122, 0.626], [0.122, 0.626, 0.626], [0.626, 0.626, 0.122], [0.000, 0.000, 0.000], [0.626, 0.626, 0.626], [0.250, 0.250, 0.250]],
  "polymorph_energy_mev_per_atom": 0.0,
  "crystal_system": "cubic",
  "spacegroup": "F-43m"
}

{
  "formula": "Sb2OsPt",
  "functional": "PBE-GGA",
  "state": "relaxed",
  "lattice": [[4.166, 0.000, 0.000], [0.000, 3.461, 0.036], [0.000, 2.183, 5.352]],
  "species": ["Sb", "Pt", "Sb", "Os"],
  "fractional_positions": [[0.500, 0.252, 0.327], [0.500, 0.573, 0.813], [0.000, 0.993, 0.920], [0.000, 0.682, 0.441]],
  "polymorph_energy_mev_per_atom": 0.0,
  "crystal_system": "monoclinic",
  "spacegroup": "Pm"
}